# 1
# Ta2C

Crystalline Ta2C at its relaxed geometry (PBEsol, Alexandria).

The space group is P-3m1 (No. 164) and the conventional cell measures 3.0969, 3.0969 and 4.9222 Å, with angles of 90.00, 90.00 and 120.00 degrees. The asymmetric unit holds Ta at (0.3333, 0.6667, 0.2532) and C at (0.0000, 0.0000, 0.0000).

As for the total DFT energy (no corrections): -12.23 eV/atom.


# 2
# TaTcWC2

Crystalline TaTcWC2 at its relaxed geometry (PBEsol, Alexandria).

The space group is P4/mmm (No. 123) and the conventional cell measures 3.9819, 3.9819 and 4.9513 Å, with angles of 90.00, 90.00 and 90.00 degrees. The asymmetric unit holds Ta at (0.0000, 0.0000, 0.0000), Tc at (0.0000, 0.0000, 0.5000), W at (0.5000, 0.5000, 0.5000) and C at (0.0000, 0.5000, 0.0000).

As for the total DFT energy (no corrections): -8.96 eV/atom.


# 3
# Ta3TeC

Crystalline Ta3TeC at its relaxed geometry (PBEsol, Alexandria).

The space group is Pm-3m (No. 221) and the conventional cell measures 4.3113, 4.3113 and 4.3113 Å, with angles of 90.00, 90.00 and 90.00 degrees. The asymmetric unit holds Ta at (0.0000, 0.0000, 0.5000), Te at (0.5000, 0.5000, 0.5000) and C at (0.0000, 0.0000, 0.0000).

The uncorrected formation energy comes out at 10.8 kJ per mole of atoms. The relative energy among the computed polymorphs is 0.000 eV per formula unit. As for the total DFT energy (no corrections): -10.05 eV/atom.


# 4
# Ta2TeC2

Crystalline Ta2TeC2 at its relaxed geometry (PBEsol, Alexandria).

The space group is I4/mmm (No. 139) and the conventional cell measures 4.1675, 4.1675 and 9.7003 Å, with angles of 90.00, 90.00 and 90.00 degrees. The asymmetric unit holds Ta at (0.0000, 0.5000, 0.2500), Te at (0.0000, 0.0000, 0.0000) and C at (0.0000, 0.0000, 0.2997).

The uncorrected formation energy comes out at 17.8 kJ per mole of atoms. As for the total DFT energy (no corrections): -9.40 eV/atom.


# 5
# Y2TaTeC

Crystalline Y2TaTeC at its relaxed geometry (PBEsol, Alexandria).

The space group is P4/mmm (No. 123) and the conventional cell measures 4.9484, 4.9484 and 4.1694 Å, with angles of 90.00, 90.00 and 90.00 degrees. The asymmetric unit holds Y at (0.0000, 0.5000, 0.0000), Ta at (0.0000, 0.0000, 0.5000), Te at (0.5000, 0.5000, 0.5000) and C at (0.0000, 0.0000, 0.0000).

The uncorrected formation energy comes out at -41.7 kJ per mole of atoms. As for the total DFT energy (no corrections): -8.31 eV/atom.


# 6
# Ta2TiC

Crystalline Ta2TiC at its relaxed geometry (PBEsol, Alexandria).

The space group is I-42d (No. 122) and the conventional cell measures 7.4982, 7.4982 and 4.2979 Å, with angles of 90.00, 90.00 and 90.00 degrees. The asymmetric unit holds Ta at (0.1280, 0.7500, 0.1250), Ti at (0.0000, 0.0000, 0.5000) and C at (0.0000, 0.0000, 0.0000).

As for the total DFT energy (no corrections): -10.76 eV/atom.


# 7
# TaTl3C

Crystalline TaTl3C at its relaxed geometry (PBEsol, Alexandria).

The space group is Pm-3m (No. 221) and the conventional cell measures 4.7161, 4.7161 and 4.7161 Å, with angles of 90.00, 90.00 and 90.00 degrees. The asymmetric unit holds Ta at (0.0000, 0.0000, 0.0000), Tl at (0.0000, 0.5000, 0.5000) and C at (0.5000, 0.5000, 0.5000).

As for the total DFT energy (no corrections): -4.32 eV/atom.


# 8
# UTaC2

Crystalline UTaC2 at its relaxed geometry (PBEsol, Alexandria).

The space group is R-3m (No. 166, hexagonal axes) and the conventional cell measures 3.2089, 3.2089 and 16.7661 Å, with angles of 90.00, 90.00 and 120.00 degrees. The asymmetric unit holds U at (0.0000, 0.0000, 0.0000), Ta at (0.0000, 0.0000, 0.5000) and C at (0.0000, 0.0000, 0.2418).

As for the total DFT energy (no corrections): -11.53 eV/atom.


# 9
# TaVC2

Crystalline TaVC2 at its relaxed geometry (PBEsol, Alexandria).

The space group is R-3m (No. 166, hexagonal axes) and the conventional cell measures 3.0509, 3.0509 and 14.7586 Å, with angles of 90.00, 90.00 and 120.00 degrees. The asymmetric unit holds Ta at (0.0000, 0.0000, 0.0000), V at (0.0000, 0.0000, 0.5000) and C at (0.0000, 0.0000, 0.2455).

As for the total DFT energy (no corrections): -10.93 eV/atom.


# 10
# Ta2WC

Crystalline Ta2WC at its relaxed geometry (PBEsol, Alexandria).

The space group is P2/m (No. 10) and the conventional cell measures 4.1650, 3.2275 and 4.3292 Å, with angles of 90.00, 100.77 and 90.00 degrees. The asymmetric unit holds Ta at (0.0000, 0.0000, 0.0000), Ta at (0.0000, 0.5000, 0.5000), W at (0.5000, 0.0000, 0.5000) and C at (0.5000, 0.5000, 0.0000).

As for the total DFT energy (no corrections): -11.19 eV/atom.


# 11
# Ta4WC5

Crystalline Ta4WC5 at its relaxed geometry (PBEsol, Alexandria).

The space group is R-3m (No. 166, hexagonal axes) and the conventional cell measures 3.1281, 3.1281 and 38.3005 Å, with angles of 90.00, 90.00 and 120.00 degrees. The asymmetric unit holds Ta at (0.0000, 0.0000, 0.1007), Ta at (0.0000, 0.0000, 0.2997), W at (0.0000, 0.0000, 0.5000), C at (0.0000, 0.0000, 0.0000), C at (0.0000, 0.0000, 0.1989) and C at (0.0000, 0.0000, 0.4007).

As for the total DFT energy (no corrections): -11.71 eV/atom.


# 12
# Ta2WC

Crystalline Ta2WC at its relaxed geometry (PBEsol, Alexandria).

The space group is F-43m (No. 216) and the conventional cell measures 6.1307, 6.1307 and 6.1307 Å, with angles of 90.00, 90.00 and 90.00 degrees. The asymmetric unit holds Ta at (0.0000, 0.0000, 0.0000), Ta at (0.2500, 0.2500, 0.2500), W at (0.0000, 0.0000, 0.5000) and C at (0.2500, 0.2500, 0.7500).

As for the total DFT energy (no corrections): -10.85 eV/atom.


Which value of total DFT energy (no corrections) does entry 11 give? -11.71 eV/atom